Cs2SrNpO4: relaxed, PBE-GGA.

ΔE_f (raw)   -2280 meV/atom
Uncorrected energy   -54.40 eV for the cell shown

a = 3.6818 Å, b = 6.4268 Å, c = 7.2650 Å
α = 107.85°, β = 90.00°, γ = 90.00°
With the nearest neighbours (Å) after each atom.
Element x y z (fractional)
1 Cs 0.5000 0.0000 0.5000  6 O 3.05-3.07
2 Cs 0.0000 0.5000 0.5000  6 O 3.17-3.42
3 Sr 0.5000 0.5000 0.0000  6 O 2.55-2.59
4 Np 0.0000 0.0000 0.0000  6 O 2.15-2.36
5 O 0.5000 0.1997 0.1695  2 Np 2.36, 1 Sr 2.59
6 O 0.5000 0.8003 0.8305  2 Np 2.36, 1 Sr 2.59
7 O 0.0000 0.2307 0.8390  1 Np 2.15
8 O 0.0000 0.7693 0.1610  1 Np 2.15